LaMgRe2: optimized geometry, PBE.

a = 2.889 Å, b = 2.889 Å, c = 10.228 Å
α = 90.00°, β = 90.00°, γ = 113.86°
Fractional coordinates of all 4 atoms:
La1 0.000 0.000 0.000
Mg1 0.500 0.500 0.314
Re1 0.000 0.000 0.543
Re2 0.500 0.500 0.743

DOS(E_F)	4.05	states/eV per cell
calculated formation energy	0.4763	eV/atom
magnetization	0.00	μB per cell
space group	No. 35